Entry from Alexandria via LeMat-Bulk: a geometry-optimized Sm2Y3Te6 structure (PBE-GGA).

abc: 7.5930 7.5636 7.5721
angles: 80.30 70.38 59.87
Positions (direct):
Te: 0.7377 0.0000 0.7514
Te: 0.9032 0.6783 0.2524
Te: 0.0968 0.3217 0.7476
Te: 0.4185 0.6783 0.7476
Te: 0.5815 0.3217 0.2524
Te: 0.2623 0.0000 0.2486
Y: 0.3292 0.3415 0.0000
Y: 0.0000 0.0000 0.0000
Y: 0.6708 0.6585 0.0000
Sm: 0.1639 0.6722 0.5000
Sm: 0.8361 0.3278 0.5000

Results
Total DFT energy (no corrections)   -5.77 eV per atom
Symmetry   C2/m, No. 12
Fermi-level density of states   5.2 states/eV/cell

Entry from Alexandria via LeMat-Bulk: a geometry-optimized Cr2CoMo structure (PBE-GGA).

abc: 8.8472 8.8472 8.8472
angles: 16.88 16.88 16.88
Positions (direct):
Cr: 0.2547 0.2547 0.2547
Cr: 0.0031 0.0031 0.0031
Co: 0.7448 0.7448 0.7448
Mo: 0.4974 0.4974 0.4974

Results
Formation energy from the elements   355.0 meV/atom
Total DFT energy (no corrections)   -8.94 eV per atom
Symmetry   R3m, No. 160
Fermi-level density of states   5.6 states/eV/cell

Entry from Alexandria via LeMat-Bulk: a geometry-optimized CuSnPb2S5 structure (PBE-GGA).

abc: 3.8232 8.7396 13.1201
angles: 90.00 90.00 102.63
Positions (direct):
S: 0.3635 0.7270 0.9969
S: 0.3031 0.6062 0.4029
S: 0.0597 0.1195 0.0225
S: 0.6365 0.2730 0.4969
S: 0.7304 0.4609 0.1721
S: 0.9403 0.8805 0.5225
S: 0.6969 0.3938 0.9029
S: 0.4935 0.9870 0.7780
S: 0.5065 0.0130 0.2780
S: 0.2696 0.5391 0.6721
Sn: 0.2162 0.4324 0.0382
Sn: 0.7838 0.5676 0.5382
Pb: 0.0731 0.1462 0.6569
Pb: 0.9269 0.8538 0.1569
Pb: 0.1378 0.2756 0.3299
Pb: 0.8622 0.7244 0.8299
Cu: 0.5595 0.1191 0.9266
Cu: 0.4405 0.8809 0.4266

Results
Total DFT energy (no corrections)   -4.36 eV per atom
Symmetry   Cmc2_1, No. 36
Fermi-level density of states   8.9 states/eV/cell

Entry from Alexandria via LeMat-Bulk: a geometry-optimized Nd3HoB2N6 structure (PBE-GGA).

abc: 5.6187 5.6187 6.3378
angles: 90.00 90.00 120.00
Positions (direct):
N: 0.1845 0.8155 0.2748
N: 0.8155 0.6310 0.7252
N: 0.3690 0.1845 0.7252
N: 0.8155 0.1845 0.7252
N: 0.1845 0.3690 0.2748
N: 0.6310 0.8155 0.2748
B: 0.6667 0.3333 0.7513
B: 0.3333 0.6667 0.2487
Nd: 0.0000 0.0000 0.0000
Nd: 0.3333 0.6667 0.6615
Nd: 0.6667 0.3333 0.3385
Ho: 0.0000 0.0000 0.5000

Results
Total DFT energy (no corrections)   -8.02 eV per atom
Symmetry   P-3m1, No. 164
Fermi-level density of states   0.3 states/eV/cell

Entry from Alexandria via LeMat-Bulk: a geometry-optimized CsNa6Au2 structure (PBE-GGA).

abc: 5.0966 5.0966 11.6531
angles: 90.00 90.00 90.00
Positions (direct):
Cs: 0.0000 0.0000 0.0000
Na: 0.0000 0.5000 0.7296
Na: 0.5000 0.0000 0.7296
Na: 0.5000 0.0000 0.2704
Na: 0.0000 0.0000 0.5000
Na: 0.5000 0.5000 0.5000
Na: 0.0000 0.5000 0.2704
Au: 0.5000 0.5000 0.1221
Au: 0.5000 0.5000 0.8779

Results
Formation energy from the elements   -149.0 meV/atom
Total DFT energy (no corrections)   -1.85 eV per atom
Symmetry   P4/mmm, No. 123
Fermi-level density of states   2.4 states/eV/cell

Entry from Alexandria via LeMat-Bulk: a geometry-optimized TlNiRh2 structure (PBE-GGA).

abc: 5.3148 5.3148 5.3148
angles: 148.10 128.12 62.21
Positions (direct):
Ni: 0.2500 0.7500 0.5000
Tl: 0.7500 0.2500 0.5000
Rh: 0.4829 0.4829 0.0000
Rh: 0.0171 0.0171 0.0000

Results
Formation energy from the elements   249.8 meV/atom
Total DFT energy (no corrections)   -5.46 eV per atom
Symmetry   Immm, No. 71
Fermi-level density of states   5.7 states/eV/cell

Which of these has the highest total DFT energy (no corrections)? CsNa6Au2